[1]
Crystalline Li5SbPd6 at its relaxed geometry. Source: the Alexandria database, functional PBE.

Calculated values
**Excess energy over the best structure of this formula in the dataset**: 0.0030 eV/atom
**Space group**: Immm

a = 4.2915 Å, b = 6.2323 Å, c = 7.4228 Å
α = 114.82°, β = 106.80°, γ = 90.00°
Closest atoms and distances in Å follow each position.
Fractional coordinates of all 12 atoms:
Li  0.6701  0.6701  0.3402  8 Pd 2.60-2.63
Li  0.3299  0.3299  0.6598  8 Pd 2.60-2.63
Li  0.3357  0.8357  0.6714  8 Pd 2.61-2.68
Li  0.6643  0.1643  0.3286  8 Pd 2.61-2.68
Li  0.0000  0.5000  0.0000  8 Pd 2.60-2.64
Pd  0.5000  0.7362  0.0000  6 Li 2.60-2.67, 2 Sb 2.70
Pd  0.8308  0.5739  0.6616  7 Li 2.60-2.68, 1 Sb 2.69
Pd  0.8308  0.0877  0.6616  7 Li 2.60-2.68, 1 Sb 2.69
Pd  0.1692  0.9123  0.3384  7 Li 2.60-2.68, 1 Sb 2.69
Pd  0.1692  0.4261  0.3384  7 Li 2.60-2.68, 1 Sb 2.69
Pd  0.5000  0.2638  0.0000  6 Li 2.60-2.67, 2 Sb 2.70
Sb  0.0000  0.0000  0.0000  8 Pd 2.69-2.70, 4 Li 3.00

=====

[2]
Crystalline SnSb2N at its relaxed geometry. Source: the Alexandria database, functional PBE.

Calculated values
**Excess energy over the best structure of this formula in the dataset**: 0.2590 eV/atom
**Space group**: I-42d

a = 5.6894 Å, b = 5.6894 Å, c = 7.6703 Å
α = 68.23°, β = 68.23°, γ = 90.00°
Closest atoms and distances in Å follow each position.
Fractional coordinates of all 8 atoms:
Sb  0.8750  0.7659  0.7500  2 N 2.31
Sb  0.3750  0.4841  0.7500  2 N 2.31
Sb  0.2341  0.6250  0.2500  2 N 2.31
Sb  0.5159  0.1250  0.2500  2 N 2.31
N  0.5000  0.5000  0.0000  4 Sb 2.31
N  0.2500  0.7500  0.5000  4 Sb 2.31
Sn  0.0000  0.0000  0.0000  4 Sb 2.98
Sn  0.7500  0.2500  0.5000  4 Sb 2.98

=====

[3]
Crystalline Li2ZnPb2 at its relaxed geometry. Source: the Alexandria database, functional PBE.

Calculated values
**Energy of formation from the pure elements**: -10.8 kJ/mol of atoms
**Space group**: Ibam

a = 5.6271 Å, b = 6.0933 Å, c = 7.8406 Å
α = 112.87°, β = 111.03°, γ = 90.00°
Closest atoms and distances in Å follow each position.
Fractional coordinates of all 10 atoms:
Pb  0.6738  0.4947  0.3476  2 Zn 2.92, 4 Li 3.12-3.20
Pb  0.3262  0.5053  0.6524  2 Zn 2.92, 4 Li 3.12-3.20
Pb  0.8262  0.1471  0.6524  2 Zn 2.92, 4 Li 3.12-3.20
Pb  0.1738  0.8529  0.3476  2 Zn 2.92, 4 Li 3.12-3.20
Li  0.0885  0.2442  0.1771  2 Zn 2.79, 1 Li 3.03, 1 Pb 3.12
Li  0.4115  0.0672  0.8229  2 Zn 2.79, 1 Li 3.03, 1 Pb 3.12
Li  0.5885  0.9328  0.1771  2 Zn 2.79, 1 Li 3.03, 1 Pb 3.12
Li  0.9115  0.7558  0.8229  2 Zn 2.79, 1 Li 3.03, 1 Pb 3.12
Zn  0.2500  0.5000  0.0000  4 Li 2.79, 2 Zn 2.81, 4 Pb 2.92
Zn  0.7500  0.5000  0.0000  4 Li 2.79, 2 Zn 2.81, 4 Pb 2.92

=====

[4]
Crystalline SrSc2Cl at its relaxed geometry. Source: the Alexandria database, functional PBE.

Calculated values
**Excess energy over the best structure of this formula in the dataset**: 0.2501 eV/atom
**Space group**: Cm

a = 5.9197 Å, b = 5.9197 Å, c = 6.5450 Å
α = 70.19°, β = 70.19°, γ = 33.61°
Closest atoms and distances in Å follow each position.
Fractional coordinates of all 4 atoms:
Sc  0.7140  0.7140  0.8635  2 Cl 2.93, 3 Sc 3.12-3.26
Sc  0.9682  0.9682  0.9894  2 Cl 2.71
Sr  0.5431  0.5431  0.4716  2 Cl 3.16, 2 Sr 3.42
Cl  0.2747  0.2747  0.1755  4 Sc 2.71-2.93

=====

What are the Fermi-level density of states values for these records? In order: 3.2; 2.7; 3.5; 5.4 states/eV per cell.